Entry 1:
A geometry-optimized ZrTc2Ni2 structure, computed with PBE.

```
ZrTc2Ni2
1.0
3.838 0.000 0.000
0.000 3.838 0.000
0.000 0.000 10.713
Zr Tc Ni
2 4 4
Direct
0.000 0.000 0.000 Zr
0.500 0.500 0.500 Zr
0.000 0.000 0.394 Tc
0.000 0.000 0.606 Tc
0.500 0.500 0.106 Tc
0.500 0.500 0.894 Tc
0.000 0.500 0.250 Ni
0.000 0.500 0.750 Ni
0.500 0.000 0.250 Ni
0.500 0.000 0.750 Ni
```

Results
Volume in Å³/atom: 15.8
D(E_F) in states/eV/atom: 1.077
E in Ry per atom: -0.5956
Magnetic moment in μB/cell: 0.002

=====

Entry 2:
A geometry-optimized ZrTc2Ni structure, computed with PBE.

```
ZrTc2Ni
1.0
3.793 0.000 0.000
0.000 3.793 0.000
0.000 0.000 4.273
Zr Tc Ni
1 2 1
Direct
0.000 0.000 0.000 Zr
0.000 0.500 0.500 Tc
0.500 0.000 0.500 Tc
0.500 0.500 0.000 Ni
```

Results
Volume in Å³/atom: 15.4
D(E_F) in states/eV/atom: 1.436
E in Ry per atom: -0.6502
Magnetic moment in μB/cell: 0.000

=====

Entry 3:
A geometry-optimized ZrTc4Ni structure, computed with PBE.

```
ZrTc4Ni
1.0
0.000 3.643 3.643
3.643 0.000 3.643
3.643 3.643 0.000
Zr Tc Ni
1 4 1
Direct
0.000 0.000 0.000 Zr
0.376 0.376 0.376 Tc
0.376 0.376 0.872 Tc
0.376 0.872 0.376 Tc
0.872 0.376 0.376 Tc
0.750 0.750 0.750 Ni
```

Results
Volume in Å³/atom: 16.1
D(E_F) in states/eV/atom: 0.963
E in Ry per atom: -0.6760
Magnetic moment in μB/cell: 0.000

=====

Entry 4:
A geometry-optimized ZrTc3Ni structure, computed with PBE.

```
ZrTc3Ni
1.0
4.702 0.000 0.000
0.000 4.702 0.000
0.000 0.000 4.702
Zr Tc Ni
1 3 1
Direct
0.000 0.000 0.000 Zr
0.000 0.000 0.500 Tc
0.000 0.500 0.000 Tc
0.500 0.000 0.000 Tc
0.500 0.500 0.500 Ni
```

Results
Volume in Å³/atom: 20.8
D(E_F) in states/eV/atom: 1.384
E in Ry per atom: -0.5047
Magnetic moment in μB/cell: 0.000

=====

Entry 5:
A geometry-optimized ZrTcNi structure, computed with PBE.

```
ZrTcNi
1.0
2.540 1.466 12.761
-2.540 1.466 12.761
0.000 -2.933 12.761
Zr Tc Ni
6 6 6
Direct
0.043 0.043 0.043 Zr
0.180 0.180 0.180 Zr
0.262 0.262 0.262 Zr
0.738 0.738 0.738 Zr
0.820 0.820 0.820 Zr
0.957 0.957 0.957 Zr
0.000 0.500 0.500 Tc
0.393 0.393 0.393 Tc
0.500 0.000 0.500 Tc
0.500 0.500 0.000 Tc
0.500 0.500 0.500 Tc
0.607 0.607 0.607 Tc
0.216 0.723 0.723 Ni
0.277 0.277 0.784 Ni
0.277 0.784 0.277 Ni
0.723 0.216 0.723 Ni
0.723 0.723 0.216 Ni
0.784 0.277 0.277 Ni
```

Results
Volume in Å³/atom: 15.8
D(E_F) in states/eV/atom: 0.963
E in Ry per atom: -0.6294
Magnetic moment in μB/cell: 0.000

=====

Entry 6:
A geometry-optimized ZrTc2Ni structure, computed with PBE.

```
ZrTc2Ni
1.0
5.824 0.000 0.000
0.000 5.832 0.000
0.000 0.000 7.213
Zr Tc Ni
4 8 4
Direct
0.000 0.000 0.000 Zr
0.000 0.500 0.500 Zr
0.500 0.000 0.500 Zr
0.500 0.500 0.000 Zr
0.000 0.000 0.500 Tc
0.000 0.500 0.000 Tc
0.250 0.250 0.750 Tc
0.250 0.750 0.250 Tc
0.500 0.000 0.000 Tc
0.500 0.500 0.500 Tc
0.750 0.250 0.250 Tc
0.750 0.750 0.750 Tc
0.250 0.250 0.250 Ni
0.250 0.750 0.750 Ni
0.750 0.250 0.750 Ni
0.750 0.750 0.250 Ni
```

Results
Volume in Å³/atom: 15.3
D(E_F) in states/eV/atom: 0.777
E in Ry per atom: -0.6504
Magnetic moment in μB/cell: 0.000

=====

Entry 7:
A geometry-optimized ZrTc2Ni structure, computed with PBE.

```
ZrTc2Ni
1.0
2.710 0.000 0.000
0.000 2.710 0.000
0.000 0.000 8.346
Zr Tc Ni
1 2 1
Direct
0.000 0.000 0.000 Zr
0.500 0.500 0.287 Tc
0.500 0.500 0.713 Tc
0.000 0.000 0.500 Ni
```

Results
Volume in Å³/atom: 15.3
D(E_F) in states/eV/atom: 1.080
E in Ry per atom: -0.6350
Magnetic moment in μB/cell: 0.000

=====

Entry 8:
A geometry-optimized Zr4TcNi structure, computed with PBE.

```
Zr4TcNi
1.0
3.309 0.000 0.000
0.000 3.309 0.000
0.000 0.000 10.488
Zr Tc Ni
4 1 1
Direct
0.000 0.000 0.149 Zr
0.000 0.000 0.851 Zr
0.500 0.500 0.347 Zr
0.500 0.500 0.653 Zr
0.000 0.000 0.500 Tc
0.500 0.500 0.000 Ni
```

Results
Volume in Å³/atom: 19.1
D(E_F) in states/eV/atom: 1.308
E in Ry per atom: -0.6347
Magnetic moment in μB/cell: 0.000

=====

Entry 9:
A geometry-optimized ZrTc2Ni structure, computed with PBE.

```
ZrTc2Ni
1.0
3.234 0.000 0.000
0.000 3.234 0.000
0.000 0.000 5.972
Zr Tc Ni
1 2 1
Direct
0.000 0.000 0.000 Zr
0.500 0.500 0.294 Tc
0.500 0.500 0.706 Tc
0.000 0.000 0.500 Ni
```

Results
Volume in Å³/atom: 15.6
D(E_F) in states/eV/atom: 1.077
E in Ry per atom: -0.6423
Magnetic moment in μB/cell: 0.000

=====

Entry 10:
A geometry-optimized ZrTc2Ni structure, computed with PBE.

```
ZrTc2Ni
1.0
9.096 0.000 0.000
0.000 3.022 0.000
-0.994 0.000 4.509
Zr Tc Ni
2 4 2
Direct
0.000 0.000 0.000 Zr
0.500 0.500 0.000 Zr
0.227 0.000 0.713 Tc
0.273 0.500 0.287 Tc
0.727 0.500 0.713 Tc
0.773 0.000 0.287 Tc
0.000 0.500 0.500 Ni
0.500 0.000 0.500 Ni
```

Results
Volume in Å³/atom: 15.5
D(E_F) in states/eV/atom: 1.054
E in Ry per atom: -0.6451
Magnetic moment in μB/cell: 0.000

=====

Entry 11:
A geometry-optimized ZrTc2Ni structure, computed with PBE.

```
ZrTc2Ni
1.0
2.927 0.000 0.000
0.000 4.293 0.000
-0.945 0.000 4.980
Zr Tc Ni
1 2 1
Direct
0.000 0.000 0.000 Zr
0.246 0.500 0.641 Tc
0.585 0.000 0.494 Tc
0.556 0.500 0.184 Ni
```

Results
Volume in Å³/atom: 15.6
D(E_F) in states/eV/atom: 0.999
E in Ry per atom: -0.6483
Magnetic moment in μB/cell: 0.000

=====

Entry 12:
A geometry-optimized Zr4Tc2Ni structure, computed with PBE.

```
Zr4Tc2Ni
1.0
2.290 1.322 7.502
-2.290 1.322 7.502
0.000 -2.644 7.502
Zr Tc Ni
4 2 1
Direct
0.122 0.122 0.122 Zr
0.373 0.373 0.373 Zr
0.627 0.627 0.627 Zr
0.878 0.878 0.878 Zr
0.248 0.248 0.248 Tc
0.752 0.752 0.752 Tc
0.500 0.500 0.500 Ni
```

Results
Volume in Å³/atom: 19.5
D(E_F) in states/eV/atom: 0.639
E in Ry per atom: -0.6545
Magnetic moment in μB/cell: 0.000

=====

Entry 13:
A geometry-optimized ZrTc2Ni structure, computed with PBE.

```
ZrTc2Ni
1.0
3.679 0.000 0.000
0.000 3.679 0.000
0.000 0.000 19.506
Zr Tc Ni
4 8 4
Direct
0.000 0.000 0.000 Zr
0.000 0.500 0.250 Zr
0.500 0.000 0.750 Zr
0.500 0.500 0.500 Zr
0.224 0.250 0.625 Tc
0.250 0.724 0.875 Tc
0.250 0.776 0.375 Tc
0.276 0.250 0.125 Tc
0.724 0.750 0.125 Tc
0.750 0.224 0.375 Tc
0.750 0.276 0.875 Tc
0.776 0.750 0.625 Tc
0.000 0.000 0.500 Ni
0.000 0.500 0.750 Ni
0.500 0.000 0.250 Ni
0.500 0.500 0.000 Ni
```

Results
Volume in Å³/atom: 16.5
D(E_F) in states/eV/atom: 1.020
E in Ry per atom: -0.6220
Magnetic moment in μB/cell: 0.000

=====

Entry 14:
A geometry-optimized ZrTcNi structure, computed with PBE.

```
ZrTcNi
1.0
2.785 0.000 0.000
0.000 2.785 0.000
0.000 0.000 12.089
Zr Tc Ni
2 2 2
Direct
0.000 0.000 0.000 Zr
0.500 0.500 0.500 Zr
0.000 0.000 0.308 Tc
0.500 0.500 0.808 Tc
0.000 0.000 0.673 Ni
0.500 0.500 0.173 Ni
```

Results
Volume in Å³/atom: 15.6
D(E_F) in states/eV/atom: 1.191
E in Ry per atom: -0.6050
Magnetic moment in μB/cell: 0.000

=====

Entry 15:
A geometry-optimized ZrTc2Ni structure, computed with PBE.

```
ZrTc2Ni
1.0
3.421 0.000 0.000
0.000 4.252 0.000
0.000 0.000 8.411
Zr Tc Ni
2 4 2
Direct
0.000 0.000 0.000 Zr
0.500 0.500 0.000 Zr
0.000 0.500 0.281 Tc
0.000 0.500 0.719 Tc
0.500 0.000 0.281 Tc
0.500 0.000 0.719 Tc
0.000 0.000 0.500 Ni
0.500 0.500 0.500 Ni
```

Results
Volume in Å³/atom: 15.3
D(E_F) in states/eV/atom: 1.100
E in Ry per atom: -0.6355
Magnetic moment in μB/cell: 0.000

=====

Entry 16:
A geometry-optimized ZrTcNi structure, computed with PBE.

```
ZrTcNi
1.0
3.271 0.000 0.000
0.000 3.271 0.000
0.000 0.000 8.927
Zr Tc Ni
2 2 2
Direct
0.000 0.000 0.000 Zr
0.500 0.500 0.500 Zr
0.000 0.000 0.684 Tc
0.500 0.500 0.184 Tc
0.000 0.000 0.315 Ni
0.500 0.500 0.815 Ni
```

Results
Volume in Å³/atom: 15.9
D(E_F) in states/eV/atom: 1.367
E in Ry per atom: -0.6087
Magnetic moment in μB/cell: 0.000

=====

Entry 17:
A geometry-optimized NiTe structure, computed with PBE.

```
NiTe
1.0
3.842 0.000 0.000
-1.921 3.327 0.000
0.000 0.000 19.057
Ni Te
6 6
Direct
0.000 0.000 0.138 Ni
0.000 0.000 0.862 Ni
0.333 0.667 0.529 Ni
0.333 0.667 0.805 Ni
0.667 0.333 0.195 Ni
0.667 0.333 0.471 Ni
0.000 0.000 0.410 Te
0.000 0.000 0.590 Te
0.333 0.667 0.077 Te
0.333 0.667 0.257 Te
0.667 0.333 0.743 Te
0.667 0.333 0.923 Te
```

Results
Volume in Å³/atom: 20.3
Uncorrected formation energy in eV per atom: -0.147
D(E_F) in states/eV/atom: 0.698
Magnetic moment in μB/cell: 0.000

=====

Entry 18:
A geometry-optimized Ni2Te structure, computed with PBE.

```
Ni2Te
1.0
3.411 0.000 0.000
0.000 3.411 0.000
0.000 0.000 16.510
Ni Te
8 4
Direct
0.000 0.250 0.300 Ni
0.000 0.250 0.450 Ni
0.000 0.750 0.550 Ni
0.000 0.750 0.700 Ni
0.500 0.250 0.050 Ni
0.500 0.250 0.200 Ni
0.500 0.750 0.800 Ni
0.500 0.750 0.950 Ni
0.000 0.250 0.875 Te
0.000 0.750 0.125 Te
0.500 0.250 0.625 Te
0.500 0.750 0.375 Te
```

Results
Volume in Å³/atom: 16.0
Uncorrected formation energy in eV per atom: 0.250
D(E_F) in states/eV/atom: 0.822
Magnetic moment in μB/cell: 0.000

=====

Entry 19:
A geometry-optimized Ni2Te3 structure, computed with PBE.

```
Ni2Te3
1.0
0.000 5.700 3.512
5.565 0.000 3.512
5.565 5.700 0.000
Ni Te
4 6
Direct
0.344 0.656 0.584 Ni
0.656 0.344 0.416 Ni
0.666 0.834 0.906 Ni
0.834 0.666 0.594 Ni
0.057 0.057 0.443 Te
0.274 0.542 0.357 Te
0.424 0.893 0.708 Te
0.542 0.274 0.826 Te
0.807 0.807 0.193 Te
0.893 0.424 0.976 Te
```

Results
Volume in Å³/atom: 22.3
Uncorrected formation energy in eV per atom: -0.097
D(E_F) in states/eV/atom: 0.595
Magnetic moment in μB/cell: 0.000

=====

Entry 20:
A geometry-optimized Ni4Te5 structure, computed with PBE.

```
Ni4Te5
1.0
-5.069 5.069 1.935
5.069 -5.069 1.935
5.069 5.069 -1.935
Ni Te
4 5
Direct
0.000 0.384 0.384 Ni
0.000 0.616 0.616 Ni
0.384 0.000 0.384 Ni
0.616 0.000 0.616 Ni
0.000 0.000 0.000 Te
0.325 0.325 0.649 Te
0.325 0.675 0.000 Te
0.675 0.325 0.000 Te
0.675 0.675 0.351 Te
```

Results
Volume in Å³/atom: 22.1
Uncorrected formation energy in eV per atom: 0.604
D(E_F) in states/eV/atom: 1.514
Magnetic moment in μB/cell: 2.555

=====

Entry 21:
A geometry-optimized NiTe structure, computed with PBE.

```
NiTe
1.0
10.167 0.000 0.000
0.000 10.167 0.000
0.000 0.000 3.963
Ni Te
8 8
Direct
0.174 0.707 0.000 Ni
0.207 0.326 0.500 Ni
0.293 0.174 0.000 Ni
0.326 0.793 0.500 Ni
0.674 0.207 0.500 Ni
0.707 0.826 0.000 Ni
0.793 0.674 0.500 Ni
0.826 0.293 0.000 Ni
0.070 0.275 0.000 Te
0.225 0.570 0.500 Te
0.275 0.930 0.000 Te
0.430 0.225 0.500 Te
0.570 0.775 0.500 Te
0.725 0.070 0.000 Te
0.775 0.430 0.500 Te
0.930 0.725 0.000 Te
```

Results
Volume in Å³/atom: 25.6
Uncorrected formation energy in eV per atom: -0.061
D(E_F) in states/eV/atom: 1.080
Magnetic moment in μB/cell: 0.000

=====

Entry 22:
A geometry-optimized Ni7Te structure, computed with PBE.

```
Ni7Te
1.0
0.000 3.632 3.632
3.632 0.000 3.632
3.632 3.632 0.000
Ni Te
7 1
Direct
0.000 0.000 0.000 Ni
0.000 0.000 0.500 Ni
0.000 0.500 0.000 Ni
0.000 0.500 0.500 Ni
0.500 0.000 0.000 Ni
0.500 0.000 0.500 Ni
0.500 0.500 0.000 Ni
0.500 0.500 0.500 Te
```

Results
Volume in Å³/atom: 12.0
Uncorrected formation energy in eV per atom: 0.055
D(E_F) in states/eV/atom: 1.747
Magnetic moment in μB/cell: 1.736

=====

Entry 23:
A geometry-optimized Ni2Te structure, computed with PBE.

```
Ni2Te
1.0
4.037 0.000 0.000
-2.018 3.496 0.000
0.000 0.000 7.594
Ni Te
4 2
Direct
0.000 0.000 0.161 Ni
0.000 0.000 0.839 Ni
0.333 0.667 0.057 Ni
0.667 0.333 0.943 Ni
0.333 0.667 0.716 Te
0.667 0.333 0.284 Te
```

Results
Volume in Å³/atom: 17.9
Uncorrected formation energy in eV per atom: -0.146
D(E_F) in states/eV/atom: 0.592
Magnetic moment in μB/cell: 0.000

=====

Entry 24:
A geometry-optimized NiTe structure, computed with PBE.

```
NiTe
1.0
6.984 0.000 0.000
0.000 6.984 0.000
0.000 0.000 3.859
Ni Te
4 4
Direct
0.131 0.131 0.000 Ni
0.369 0.631 0.500 Ni
0.631 0.369 0.500 Ni
0.869 0.869 0.000 Ni
0.214 0.786 0.000 Te
0.286 0.286 0.500 Te
0.714 0.714 0.500 Te
0.786 0.214 0.000 Te
```

Results
Volume in Å³/atom: 23.5
Uncorrected formation energy in eV per atom: -0.130
D(E_F) in states/eV/atom: 0.843
Magnetic moment in μB/cell: 0.000

=====

Entry 25:
A geometry-optimized NiTe structure, computed with PBE.

```
NiTe
1.0
3.879 0.000 0.000
-1.940 3.360 0.000
0.000 0.000 20.010
Ni Te
6 6
Direct
0.000 0.000 0.131 Ni
0.000 0.000 0.869 Ni
0.333 0.667 0.535 Ni
0.333 0.667 0.798 Ni
0.667 0.333 0.202 Ni
0.667 0.333 0.465 Ni
0.000 0.000 0.258 Te
0.000 0.000 0.742 Te
0.333 0.667 0.409 Te
0.333 0.667 0.925 Te
0.667 0.333 0.075 Te
0.667 0.333 0.591 Te
```

Results
Volume in Å³/atom: 21.7
Uncorrected formation energy in eV per atom: -0.189
D(E_F) in states/eV/atom: 1.004
Magnetic moment in μB/cell: 0.000

=====

Entry 26:
A geometry-optimized Ni3Te2 structure, computed with PBE.

```
Ni3Te2
1.0
0.000 5.150 3.197
5.118 0.000 3.197
5.118 5.150 0.000
Ni Te
6 4
Direct
0.000 0.000 0.000 Ni
0.250 0.250 0.250 Ni
0.469 0.805 0.341 Ni
0.805 0.469 0.385 Ni
0.865 0.909 0.445 Ni
0.909 0.865 0.781 Ni
0.095 0.454 0.538 Te
0.337 0.712 0.796 Te
0.454 0.095 0.913 Te
0.712 0.337 0.155 Te
```

Results
Volume in Å³/atom: 16.9
Uncorrected formation energy in eV per atom: 0.010
D(E_F) in states/eV/atom: 0.850
Magnetic moment in μB/cell: 0.000

=====

Entry 27:
A geometry-optimized Ni2Te structure, computed with PBE.

```
Ni2Te
1.0
3.799 0.000 0.000
-1.899 3.290 0.000
0.000 0.000 3.835
Ni Te
2 1
Direct
0.333 0.667 0.136 Ni
0.667 0.333 0.864 Ni
0.000 0.000 0.500 Te
```

Results
Volume in Å³/atom: 16.0
Uncorrected formation energy in eV per atom: 0.162
D(E_F) in states/eV/atom: 1.018
Magnetic moment in μB/cell: 0.000